MgIr2Au: relaxed, PBE-GGA.

The calculated formation energy is -0.08 eV per atom.

a b c (Å): 2.8439 3.9357 5.7127
angles (deg): 90.00 90.00 90.00
With the nearest neighbours (Å) after each atom.
Fractional coordinates of all 4 atoms:
Mg: 0.0000 0.0000 0.0000  5 Ir 2.67-2.90, 4 Au 2.77, 2 Mg 2.84
Ir: 0.0000 0.0000 0.5324  6 Ir 2.66-2.84, 1 Mg 2.67, 4 Au 2.97
Ir: 0.5000 0.5000 0.7222  6 Ir 2.66-2.84, 2 Au 2.79-2.92, 4 Mg 2.90
Au: 0.5000 0.5000 0.2342  4 Mg 2.77, 6 Ir 2.79-2.97, 2 Au 2.84

Y2ErAl3: relaxed, PBE-GGA.

The calculated formation energy is -0.41 eV per atom.

a b c (Å): 3.5824 3.5824 10.8337
angles (deg): 90.00 90.00 90.00
With the nearest neighbours (Å) after each atom.
Fractional coordinates of all 6 atoms:
Y: 0.0000 0.0000 0.1684  8 Al 3.12
Y: 0.0000 0.0000 0.8316  8 Al 3.12
Er: 0.0000 0.0000 0.5000  8 Al 3.09
Al: 0.5000 0.5000 0.0000  8 Y 3.12
Al: 0.5000 0.5000 0.3371  4 Er 3.09, 4 Y 3.12
Al: 0.5000 0.5000 0.6629  4 Er 3.09, 4 Y 3.12